Entry from Alexandria via LeMat-Bulk: UAl2PbO8 after structural relaxation (PBE-GGA).

Lattice parameters (Å, degrees): 4.6939 4.6939 6.4421 90.00 90.00 90.67
Closest atoms and distances in Å follow each position.
Fractional coordinates of all 12 atoms:
1 U 0.0000 0.0000 0.0000  6 O 2.06-2.11
2 Al 0.5000 0.5000 0.2599  6 O 1.89-2.09
3 Al 0.5000 0.5000 0.7401  6 O 1.89-2.09
4 Pb 0.0000 0.0000 0.5000  6 O 2.12-2.23
5 O 0.2182 0.7818 0.2374  1 Al 1.89, 1 U 2.11
6 O 0.2182 0.7818 0.7626  1 Al 1.89, 1 U 2.11
7 O 0.3114 0.3114 0.0000  1 U 2.06, 2 Al 2.09
8 O 0.3211 0.3211 0.5000  2 Al 1.95, 1 Pb 2.12
9 O 0.6789 0.6789 0.5000  2 Al 1.95, 1 Pb 2.12
10 O 0.6886 0.6886 0.0000  1 U 2.06, 2 Al 2.09
11 O 0.7818 0.2182 0.2374  1 Al 1.89, 1 U 2.11
12 O 0.7818 0.2182 0.7626  1 Al 1.89, 1 U 2.11

Calculated values
Formation energy without anion corrections (eV/atom): -2.359
Total moment (μB per cell): 0.0
Density (g cm⁻³): 7.3